Record 1
Below is VBr after structural relaxation, with properties calculated at the PBE level.

Lattice parameters (Å, degrees): 6.4383 6.2864 6.1364 62.42 59.93 57.65
With the nearest neighbours (Å) after each atom.
Element x y z (fractional)
1 V 0.0209 0.0209 0.2291  1 V 1.94
2 V 0.2291 0.2291 0.0209  1 V 1.94
3 V 0.7709 0.7709 0.9791  1 V 1.94
4 V 0.9791 0.9791 0.7709  1 V 1.94
5 Br 0.1638 0.5862 0.5862  4 V 2.63
6 Br 0.4138 0.8362 0.8362  4 V 2.63
7 Br 0.5862 0.1638 0.1638  4 V 2.63
8 Br 0.8362 0.4138 0.4138  4 V 2.63


Record 2
Below is VBr after structural relaxation, with properties calculated at the PBE level.

Lattice parameters (Å, degrees): 11.3345 11.3345 3.3987 90.00 90.00 90.00
With the nearest neighbours (Å) after each atom.
Element x y z (fractional)
1 V 0.0810 0.4188 0.0000  5 V 2.50-2.60, 3 Br 2.59-2.63
2 V 0.0806 0.5837 0.5000  5 V 2.50-2.63, 3 Br 2.59-2.63
3 V 0.4163 0.0806 0.5000  5 V 2.50-2.63, 3 Br 2.59-2.63
4 V 0.4188 0.9190 0.0000  5 V 2.50-2.60, 3 Br 2.59-2.63
5 V 0.5812 0.0810 0.0000  5 V 2.50-2.60, 3 Br 2.59-2.63
6 V 0.5837 0.9194 0.5000  5 V 2.50-2.63, 3 Br 2.59-2.63
7 V 0.9194 0.4163 0.5000  5 V 2.50-2.63, 3 Br 2.59-2.63
8 V 0.9190 0.5812 0.0000  5 V 2.50-2.60, 3 Br 2.59-2.63
9 Br 0.0772 0.2466 0.5000  3 V 2.59-2.63
10 Br 0.2466 0.9228 0.5000  3 V 2.59-2.63
11 Br 0.2531 0.5741 0.0000  3 V 2.59-2.63
12 Br 0.4259 0.2531 0.0000  3 V 2.59-2.63
13 Br 0.5741 0.7469 0.0000  3 V 2.59-2.63
14 Br 0.7469 0.4259 0.0000  3 V 2.59-2.63
15 Br 0.7534 0.0772 0.5000  3 V 2.59-2.63
16 Br 0.9228 0.7534 0.5000  3 V 2.59-2.63


Record 3
Below is VBr after structural relaxation, with properties calculated at the PBE level.

Lattice parameters (Å, degrees): 3.1756 3.1756 4.6768 90.00 90.00 120.00
With the nearest neighbours (Å) after each atom.
Element x y z (fractional)
1 V 0.0000 0.0000 0.0000  2 Br 2.34
2 Br 0.0000 0.0000 0.5000  2 V 2.34


Record 4
Below is VBr after structural relaxation, with properties calculated at the PBE level.

Lattice parameters (Å, degrees): 3.2848 3.2848 3.8846 90.00 90.00 120.00
With the nearest neighbours (Å) after each atom.
Element x y z (fractional)
1 V 0.0000 0.0000 0.0000  6 Br 2.71
2 Br 0.3333 0.6667 0.5000  6 V 2.71


Record 5
Below is VBr after structural relaxation, with properties calculated at the PBE level.

Lattice parameters (Å, degrees): 5.0296 7.2096 10.2969 90.00 90.00 90.00
With the nearest neighbours (Å) after each atom.
Element x y z (fractional)
1 V 0.1067 0.2500 0.1781  1 V 1.91
2 V 0.1132 0.7500 0.5521  1 V 1.91
3 V 0.3868 0.2500 0.0521  1 V 1.91
4 V 0.3933 0.7500 0.6781  1 V 1.91
5 V 0.6067 0.2500 0.3219  1 V 1.91
6 V 0.6132 0.7500 0.9479  1 V 1.91
7 V 0.8868 0.2500 0.4479  1 V 1.91
8 V 0.8933 0.7500 0.8219  1 V 1.91
9 Br 0.2441 0.0030 0.3755  4 V 2.61-2.79
10 Br 0.2441 0.4970 0.3755  4 V 2.61-2.79
11 Br 0.2559 0.5030 0.8755  4 V 2.61-2.79
12 Br 0.2559 0.9970 0.8755  4 V 2.61-2.79
13 Br 0.7441 0.0030 0.1245  4 V 2.61-2.79
14 Br 0.7441 0.4970 0.1245  4 V 2.61-2.79
15 Br 0.7559 0.5030 0.6245  4 V 2.61-2.79
16 Br 0.7559 0.9970 0.6245  4 V 2.61-2.79


Record 6
Below is VBr after structural relaxation, with properties calculated at the PBE level.

Lattice parameters (Å, degrees): 3.9850 3.9850 3.9850 60.00 60.00 60.00
With the nearest neighbours (Å) after each atom.
Element x y z (fractional)
1 V 0.0000 0.0000 0.0000  6 Br 2.82
2 Br 0.5000 0.5000 0.5000  6 V 2.82


Record 7
Below is VBr4 after structural relaxation, with properties calculated at the PBE level.

Lattice parameters (Å, degrees): 5.0930 5.0930 5.0930 90.00 90.00 90.00
With the nearest neighbours (Å) after each atom.
Element x y z (fractional)
1 V 0.0000 0.0000 0.0000  6 Br 2.55
2 Br 0.0000 0.0000 0.5000  2 V 2.55
3 Br 0.0000 0.5000 0.0000  2 V 2.55
4 Br 0.5000 0.0000 0.0000  2 V 2.55
5 Br 0.5000 0.5000 0.5000  12 Br 3.60


Record 8
Below is VBr after structural relaxation, with properties calculated at the PBE level.

Lattice parameters (Å, degrees): 6.3369 6.3369 4.7895 90.00 90.00 90.00
With the nearest neighbours (Å) after each atom.
Element x y z (fractional)
1 V 0.1014 0.1014 0.0000  1 V 1.82
2 V 0.3986 0.6014 0.5000  1 V 1.82
3 V 0.6014 0.3986 0.5000  1 V 1.82
4 V 0.8986 0.8986 0.0000  1 V 1.82
5 Br 0.2146 0.2146 0.5000  4 V 2.60-2.71
6 Br 0.2854 0.7146 0.0000  4 V 2.60-2.71
7 Br 0.7146 0.2854 0.0000  4 V 2.60-2.71
8 Br 0.7854 0.7854 0.5000  4 V 2.60-2.71


no.,total DFT energy (no corrections) (eV/atom),ΔE_f (raw) (eV per atom)
1,-5.3174,0.078
2,-5.7122,-0.316
3,-4.8061,0.590
4,-5.0139,0.382
5,-5.4189,-0.023
6,-4.9707,0.425
7,-3.4406,-0.279
8,-5.3351,0.061